# 1
Material: Er2HgRh
Method: DFT, PBE
State: relaxed

Unit cell a=7.079 b=7.079 c=7.079 alpha=90.00 beta=90.00 gamma=90.00
Space group Fm-3m (No. 225)
Unique sites:
Er 0.250 0.250 0.250 [8 per cell]
Hg 0.000 0.000 0.000 [4 per cell]
Rh 0.000 0.000 0.500 [4 per cell]

Energy above the most stable polymorph in this dataset ... 86 meV per atom

---

# 2
Material: GeOsN2O
Method: DFT, PBE
State: relaxed

Unit cell a=3.514 b=3.514 c=5.740 alpha=90.00 beta=90.00 gamma=90.00
Space group P4/mmm (No. 123)
Unique sites:
Ge 0.000 0.000 0.000 [1 per cell]
Os 0.000 0.000 0.500 [1 per cell]
N 0.000 0.500 0.000 [2 per cell]
O 0.500 0.500 0.500 [1 per cell]

Raw formation energy ... 1.97 eV/atom

---

# 3
Material: Mg3Sc4In2
Method: DFT, PBE
State: relaxed

Unit cell a=5.0010 b=5.0010 c=9.5539 alpha=90.00 beta=90.00 gamma=120.00
Space group P-3m1 (No. 164)
Unique sites:
Mg 0.0000 0.0000 0.0000 [1 per cell]
Mg 0.3333 0.6667 0.4776 [2 per cell]
Sc 0.0000 0.0000 0.3268 [2 per cell]
Sc 0.3333 0.6667 0.1269 [2 per cell]
In 0.3333 0.6667 0.8019 [2 per cell]

Electronic total energy ... -4.18 eV/atom

---

Calculated N(E_F) in order - 0.57, 0.52, 0.73 states/eV/atom